[1]
# CuTc3, relaxed, DFT GGA-PBE
# Formation enthalpy at 0 K: 0.4 eV per formula unit
# SG: P6_3/mmc
data_CuTc3
_chemical_formula_sum 'Cu2 Tc6'
_symmetry_space_group_name_H-M 'P 1'
_symmetry_Int_Tables_number 1
_symmetry_space_group_name_Hall 'P 1'
_cell_length_a 5.397
_cell_length_b 5.397
_cell_length_c 4.398
_cell_angle_alpha 90.00
_cell_angle_beta 90.00
_cell_angle_gamma 120.00
loop_
_atom_site_label
_atom_site_type_symbol
_atom_site_fract_x
_atom_site_fract_y
_atom_site_fract_z
Tc1 Tc 0.666 0.833 0.750
Tc2 Tc 0.167 0.833 0.750
Tc3 Tc 0.334 0.167 0.250
Cu1 Cu 0.667 0.333 0.750
Tc4 Tc 0.833 0.666 0.250
Tc5 Tc 0.833 0.167 0.250
Cu2 Cu 0.333 0.667 0.250
Tc6 Tc 0.167 0.334 0.750



[2]
# CuTc3, relaxed, DFT GGA-PBE
# Formation enthalpy at 0 K: 1.2 eV per formula unit
# SG: Fm-3m
data_CuTc3
_chemical_formula_sum 'Cu1 Tc3'
_symmetry_space_group_name_H-M 'P 1'
_symmetry_Int_Tables_number 1
_symmetry_space_group_name_Hall 'P 1'
_cell_length_a 4.306
_cell_length_b 4.306
_cell_length_c 4.306
_cell_angle_alpha 60.00
_cell_angle_beta 60.00
_cell_angle_gamma 60.00
loop_
_atom_site_label
_atom_site_type_symbol
_atom_site_fract_x
_atom_site_fract_y
_atom_site_fract_z
Cu1 Cu 0.000 0.000 0.000
Tc1 Tc 0.750 0.750 0.750
Tc2 Tc 0.250 0.250 0.250
Tc3 Tc 0.500 0.500 0.500



[3]
# CuTc3, relaxed, DFT GGA-PBE
# Formation enthalpy at 0 K: 1.3 eV per formula unit
# SG: R-3m
data_CuTc3
_chemical_formula_sum 'Cu1 Tc3'
_symmetry_space_group_name_H-M 'P 1'
_symmetry_Int_Tables_number 1
_symmetry_space_group_name_Hall 'P 1'
_cell_length_a 2.619
_cell_length_b 5.081
_cell_length_c 5.081
_cell_angle_alpha 117.11
_cell_angle_beta 80.11
_cell_angle_gamma 80.11
loop_
_atom_site_label
_atom_site_type_symbol
_atom_site_fract_x
_atom_site_fract_y
_atom_site_fract_z
Tc1 Tc 0.500 0.000 0.500
Tc2 Tc 0.500 0.500 0.000
Cu1 Cu 0.000 0.000 0.000
Tc3 Tc 0.000 0.500 0.500



[4]
# Cu8Tc, relaxed, DFT GGA-PBE
# Formation enthalpy at 0 K: 1.6 eV per formula unit
# SG: I4/mmm
data_Cu8Tc
_chemical_formula_sum 'Cu8 Tc1'
_symmetry_space_group_name_H-M 'P 1'
_symmetry_Int_Tables_number 1
_symmetry_space_group_name_Hall 'P 1'
_cell_length_a 5.813
_cell_length_b 5.813
_cell_length_c 5.813
_cell_angle_alpha 95.67
_cell_angle_beta 95.67
_cell_angle_gamma 143.35
loop_
_atom_site_label
_atom_site_type_symbol
_atom_site_fract_x
_atom_site_fract_y
_atom_site_fract_z
Cu1 Cu 0.335 0.000 0.335
Cu2 Cu 0.669 0.331 0.000
Cu3 Cu 0.000 0.335 0.335
Cu4 Cu 0.669 0.669 0.338
Cu5 Cu 0.331 0.669 0.000
Tc1 Tc 0.000 0.000 0.000
Cu6 Cu 0.665 0.000 0.665
Cu7 Cu 0.331 0.331 0.662
Cu8 Cu 0.000 0.665 0.665



[5]
# Cu2TcTe, relaxed, DFT GGA-PBE
# Uncorrected formation energy: 503 meV/atom
# SG: P2/m
data_Cu2TcTe
_chemical_formula_sum 'Cu2 Tc1 Te1'
_symmetry_space_group_name_H-M 'P 1'
_symmetry_Int_Tables_number 1
_symmetry_space_group_name_Hall 'P 1'
_cell_length_a 4.647
_cell_length_b 3.109
_cell_length_c 4.543
_cell_angle_alpha 92.43
_cell_angle_beta 90.00
_cell_angle_gamma 90.00
loop_
_atom_site_label
_atom_site_type_symbol
_atom_site_fract_x
_atom_site_fract_y
_atom_site_fract_z
Cu1 Cu 0.000 0.955 0.031
Tc1 Tc 0.500 0.250 0.250
Cu2 Cu 0.000 0.545 0.469
Te1 Te 0.500 0.750 0.750



[6]
# Cu2TcTe, relaxed, DFT GGA-PBE
# Uncorrected formation energy: 433 meV/atom
# SG: P2/m
data_Cu2TcTe
_chemical_formula_sum 'Cu2 Tc1 Te1'
_symmetry_space_group_name_H-M 'P 1'
_symmetry_Int_Tables_number 1
_symmetry_space_group_name_Hall 'P 1'
_cell_length_a 3.304
_cell_length_b 4.302
_cell_length_c 5.607
_cell_angle_alpha 51.52
_cell_angle_beta 90.00
_cell_angle_gamma 90.00
loop_
_atom_site_label
_atom_site_type_symbol
_atom_site_fract_x
_atom_site_fract_y
_atom_site_fract_z
Cu1 Cu 0.500 0.500 0.000
Tc1 Tc 0.500 0.500 0.500
Te1 Te 0.000 0.000 0.500
Cu2 Cu 0.000 0.000 0.000



[7]
# CuTc2Te, relaxed, DFT GGA-PBE
# Uncorrected formation energy: 594 meV/atom
# SG: Pmmm
data_CuTc2Te
_chemical_formula_sum 'Cu1 Tc2 Te1'
_symmetry_space_group_name_H-M 'P 1'
_symmetry_Int_Tables_number 1
_symmetry_space_group_name_Hall 'P 1'
_cell_length_a 3.337
_cell_length_b 4.317
_cell_length_c 4.465
_cell_angle_alpha 90.00
_cell_angle_beta 90.00
_cell_angle_gamma 90.00
loop_
_atom_site_label
_atom_site_type_symbol
_atom_site_fract_x
_atom_site_fract_y
_atom_site_fract_z
Te1 Te 0.500 0.000 0.500
Tc1 Tc 0.000 0.000 0.000
Cu1 Cu 0.000 0.500 0.500
Tc2 Tc 0.500 0.500 0.000



[8]
# CuTc2Te, relaxed, DFT GGA-PBE
# Uncorrected formation energy: 504 meV/atom
# SG: F-43m
data_CuTc2Te
_chemical_formula_sum 'Cu1 Tc2 Te1'
_symmetry_space_group_name_H-M 'P 1'
_symmetry_Int_Tables_number 1
_symmetry_space_group_name_Hall 'P 1'
_cell_length_a 4.488
_cell_length_b 4.488
_cell_length_c 4.488
_cell_angle_alpha 60.00
_cell_angle_beta 60.00
_cell_angle_gamma 60.00
loop_
_atom_site_label
_atom_site_type_symbol
_atom_site_fract_x
_atom_site_fract_y
_atom_site_fract_z
Tc1 Tc 0.000 0.000 0.000
Tc2 Tc 0.250 0.250 0.250
Te1 Te 0.750 0.750 0.750
Cu1 Cu 0.500 0.500 0.500



[9]
# CuTc2Te2, relaxed, DFT GGA-PBE
# Uncorrected formation energy: 458 meV/atom
# SG: I4/mmm
data_CuTc2Te2
_chemical_formula_sum 'Cu1 Tc2 Te2'
_symmetry_space_group_name_H-M 'P 1'
_symmetry_Int_Tables_number 1
_symmetry_space_group_name_Hall 'P 1'
_cell_length_a 3.753
_cell_length_b 3.753
_cell_length_c 8.079
_cell_angle_alpha 76.57
_cell_angle_beta 76.57
_cell_angle_gamma 90.00
loop_
_atom_site_label
_atom_site_type_symbol
_atom_site_fract_x
_atom_site_fract_y
_atom_site_fract_z
Te1 Te 0.619 0.619 0.762
Tc1 Tc 0.250 0.750 0.500
Te2 Te 0.381 0.381 0.238
Tc2 Tc 0.750 0.250 0.500
Cu1 Cu 0.000 0.000 0.000



[10]
# CuTc2Te, relaxed, DFT GGA-PBE
# Uncorrected formation energy: 458 meV/atom
# SG: R3m
data_CuTc2Te
_chemical_formula_sum 'Cu1 Tc2 Te1'
_symmetry_space_group_name_H-M 'P 1'
_symmetry_Int_Tables_number 1
_symmetry_space_group_name_Hall 'P 1'
_cell_length_a 9.207
_cell_length_b 9.207
_cell_length_c 9.207
_cell_angle_alpha 18.30
_cell_angle_beta 18.30
_cell_angle_gamma 18.30
loop_
_atom_site_label
_atom_site_type_symbol
_atom_site_fract_x
_atom_site_fract_y
_atom_site_fract_z
Te1 Te 0.501 0.501 0.501
Cu1 Cu 0.743 0.743 0.743
Tc1 Tc 0.258 0.258 0.258
Tc2 Tc 0.998 0.998 0.998



[11]
# CuTcTe4, relaxed, DFT GGA-PBE
# Uncorrected formation energy: 1217 meV/atom
# SG: F-43m
data_CuTcTe4
_chemical_formula_sum 'Cu1 Tc1 Te4'
_symmetry_space_group_name_H-M 'P 1'
_symmetry_Int_Tables_number 1
_symmetry_space_group_name_Hall 'P 1'
_cell_length_a 6.246
_cell_length_b 6.246
_cell_length_c 6.246
_cell_angle_alpha 60.00
_cell_angle_beta 60.00
_cell_angle_gamma 60.00
loop_
_atom_site_label
_atom_site_type_symbol
_atom_site_fract_x
_atom_site_fract_y
_atom_site_fract_z
Te1 Te 0.375 0.375 0.875
Te2 Te 0.375 0.875 0.375
Te3 Te 0.875 0.375 0.375
Cu1 Cu 0.750 0.750 0.750
Te4 Te 0.375 0.375 0.375
Tc1 Tc 0.000 0.000 0.000



[12]
# CuTc2Te, relaxed, DFT GGA-PBE
# Uncorrected formation energy: 496 meV/atom
# SG: P2/m
data_CuTc2Te
_chemical_formula_sum 'Cu1 Tc2 Te1'
_symmetry_space_group_name_H-M 'P 1'
_symmetry_Int_Tables_number 1
_symmetry_space_group_name_Hall 'P 1'
_cell_length_a 3.042
_cell_length_b 4.920
_cell_length_c 5.361
_cell_angle_alpha 52.62
_cell_angle_beta 90.00
_cell_angle_gamma 90.00
loop_
_atom_site_label
_atom_site_type_symbol
_atom_site_fract_x
_atom_site_fract_y
_atom_site_fract_z
Cu1 Cu 0.000 0.000 0.500
Te1 Te 0.500 0.500 0.500
Tc1 Tc 0.000 0.000 0.000
Tc2 Tc 0.500 0.500 0.000



[13]
# Cu2TcTe, relaxed, DFT GGA-PBE
# Uncorrected formation energy: 304 meV/atom
# SG: I-4m2
data_Cu2TcTe
_chemical_formula_sum 'Cu2 Tc1 Te1'
_symmetry_space_group_name_H-M 'P 1'
_symmetry_Int_Tables_number 1
_symmetry_space_group_name_Hall 'P 1'
_cell_length_a 4.890
_cell_length_b 4.890
_cell_length_c 4.890
_cell_angle_alpha 133.29
_cell_angle_beta 133.29
_cell_angle_gamma 68.20
loop_
_atom_site_label
_atom_site_type_symbol
_atom_site_fract_x
_atom_site_fract_y
_atom_site_fract_z
Te1 Te 0.750 0.250 0.500
Cu1 Cu 0.000 0.000 0.000
Tc1 Tc 0.500 0.500 0.000
Cu2 Cu 0.250 0.750 0.500



[14]
# Cu2TcTe, relaxed, DFT GGA-PBE
# Uncorrected formation energy: 410 meV/atom
# SG: P4/mmm
data_Cu2TcTe
_chemical_formula_sum 'Cu2 Tc1 Te1'
_symmetry_space_group_name_H-M 'P 1'
_symmetry_Int_Tables_number 1
_symmetry_space_group_name_Hall 'P 1'
_cell_length_a 3.887
_cell_length_b 3.885
_cell_length_c 4.053
_cell_angle_alpha 90.00
_cell_angle_beta 90.00
_cell_angle_gamma 90.00
loop_
_atom_site_label
_atom_site_type_symbol
_atom_site_fract_x
_atom_site_fract_y
_atom_site_fract_z
Cu1 Cu 0.500 0.500 0.000
Cu2 Cu 0.000 0.000 0.000
Tc1 Tc 0.500 0.000 0.500
Te1 Te 0.000 0.500 0.500